Entry from Alexandria: crystalline Ca2CoAs at its relaxed geometry (PBE-GGA).

Symmetry ... P4mm (99)
Volume ... 92 Å³ per cell
ΔH_f (0 K) ... -0.168 eV per atom
Crystal system ... tetragonal
M_tot ... 0.00 μB per formula unit

Cell lengths 3.3428, 3.3428, 8.2649 Å; angles 90.00, 90.00, 90.00 degrees
Sites, in units of the cell vectors:
Ca: 0.0000 0.0000 0.0000
Ca: 0.5000 0.5000 0.3930
Co: 0.0000 0.0000 0.6530
As: 0.5000 0.5000 0.7516


Entry from Alexandria: crystalline Nb6VOs at its relaxed geometry (PBE-GGA).

Symmetry ... Cmmm (65)
Excess energy over the best structure of this formula in the dataset ... 0.000 eV per atom
Volume ... 137 Å³ per cell
ΔH_f (0 K) ... -0.125 eV per atom
Crystal system ... orthorhombic
M_tot ... 0.00 μB per formula unit

Cell lengths 5.6093, 5.6093, 4.5963 Å; angles 90.00, 90.00, 108.99 degrees
Sites, in units of the cell vectors:
Nb: 0.0000 0.5000 0.5000
Nb: 0.2471 0.7529 0.0000
Nb: 0.2514 0.2514 0.0000
Nb: 0.5000 0.0000 0.5000
Nb: 0.7486 0.7486 0.0000
Nb: 0.7529 0.2471 0.0000
V: 0.0000 0.0000 0.5000
Os: 0.5000 0.5000 0.5000


Entry from Alexandria: crystalline YMg4Ga4 at its relaxed geometry (PBE-GGA).

Symmetry ... P4_2/nmc (137)
Volume ... 389 Å³ per cell
ΔH_f (0 K) ... -0.142 eV per atom
Crystal system ... tetragonal
M_tot ... 0.00 μB per formula unit

Cell lengths 6.5955, 6.5955, 8.9439 Å; angles 90.00, 90.00, 90.00 degrees
Sites, in units of the cell vectors:
Y: 0.2500 0.7500 0.2500
Y: 0.7500 0.2500 0.7500
Mg: 0.0097 0.2500 0.1500
Mg: 0.2500 0.0097 0.6500
Mg: 0.2500 0.4903 0.6500
Mg: 0.4903 0.2500 0.1500
Mg: 0.5097 0.7500 0.8500
Mg: 0.7500 0.5097 0.3500
Mg: 0.7500 0.9903 0.3500
Mg: 0.9903 0.7500 0.8500
Ga: 0.0474 0.2500 0.4546
Ga: 0.2500 0.0474 0.9546
Ga: 0.2500 0.4526 0.9546
Ga: 0.4526 0.2500 0.4546
Ga: 0.5474 0.7500 0.5454
Ga: 0.7500 0.5474 0.0454
Ga: 0.7500 0.9526 0.0454
Ga: 0.9526 0.7500 0.5454


Entry from Alexandria: crystalline SrCu3Sb at its relaxed geometry (PBE-GGA).

Symmetry ... Pm-3m (221)
Excess energy over the best structure of this formula in the dataset ... 1.085 eV per atom
Uncorrected formation energy ... 1.2921 eV per atom
Volume ... 138 Å³ per cell
Crystal system ... cubic
M_tot ... 0.00 μB per formula unit

Cell lengths 5.1627, 5.1627, 5.1627 Å; angles 90.00, 90.00, 90.00 degrees
Sites, in units of the cell vectors:
Sr: 0.0000 0.0000 0.0000
Cu: 0.0000 0.0000 0.5000
Cu: 0.0000 0.5000 0.0000
Cu: 0.5000 0.0000 0.0000
Sb: 0.5000 0.5000 0.5000